The following is a DFT calculation (GGA-PBE) of an optimized crystal structure of BeTc4Br.

Summary:
**E_form (uncorrected)**: 1021.0 meV per atom
**N(E_F)**: 4.953 states/eV per cell

Lattice parameters (Å, degrees): 5.160 5.160 5.160 60.00 60.00 60.00
Sites, in units of the cell vectors:
Be: 0.000 0.000 0.000
Tc: 0.127 0.624 0.624
Tc: 0.624 0.127 0.624
Tc: 0.624 0.624 0.127
Tc: 0.624 0.624 0.624
Br: 0.250 0.250 0.250

The following is a DFT calculation (GGA-PBE) of an optimized crystal structure of BeTcBr2.

Summary:
**E_form (uncorrected)**: 575.0 meV per atom
**Energy relative to the lowest polymorph listed for this composition**: 0.5015 eV per atom
**N(E_F)**: 2.626 states/eV per cell

Lattice parameters (Å, degrees): 10.446 10.446 10.446 18.20 18.20 18.20
Sites, in units of the cell vectors:
Be: 0.000 0.000 0.000
Tc: 0.500 0.500 0.500
Br: 0.288 0.288 0.288
Br: 0.712 0.712 0.712

The following is a DFT calculation (GGA-PBE) of an optimized crystal structure of BeTcBr4.

Summary:
**E_form (uncorrected)**: 1485.4 meV per atom
**N(E_F)**: 5.947 states/eV per cell

Lattice parameters (Å, degrees): 6.245 6.245 6.245 60.00 60.00 60.00
Sites, in units of the cell vectors:
Be: 0.000 0.000 0.000
Tc: 0.250 0.250 0.250
Br: 0.125 0.625 0.625
Br: 0.625 0.125 0.625
Br: 0.625 0.625 0.125
Br: 0.625 0.625 0.625

The following is a DFT calculation (GGA-PBE) of an optimized crystal structure of BeTcBr2.

Summary:
**E_form (uncorrected)**: 89.4 meV per atom
**Energy relative to the lowest polymorph listed for this composition**: 0.0159 eV per atom
**N(E_F)**: 1.019 states/eV per cell

Lattice parameters (Å, degrees): 3.630 3.630 8.194 95.42 95.42 53.14
Sites, in units of the cell vectors:
Be: 0.000 0.000 0.000
Tc: 0.726 0.726 0.146
Br: 0.268 0.268 0.380
Br: 0.613 0.613 0.833

Copy entry 1 word for word.
The following is a DFT calculation (GGA-PBE) of an optimized crystal structure of BeTc4Br.

Summary:
**E_form (uncorrected)**: 1021.0 meV per atom
**N(E_F)**: 4.953 states/eV per cell

Lattice parameters (Å, degrees): 5.160 5.160 5.160 60.00 60.00 60.00
Sites, in units of the cell vectors:
Be: 0.000 0.000 0.000
Tc: 0.127 0.624 0.624
Tc: 0.624 0.127 0.624
Tc: 0.624 0.624 0.127
Tc: 0.624 0.624 0.624
Br: 0.250 0.250 0.250

Q: Which of these has the highest E_form (uncorrected)?
A: BeTcBr4

Q: Number 1 is which compound?
A: BeTc4Br